[1]
Density functional theory data (meta-GGA SCAN) for a PBEsol-optimized structure of MnBe2Tl.

Computed properties:
Its total magnetization is 3.0 μB/f.u. Its space group is P4mm (99). The value obtained for the relative energy among the computed polymorphs is 0.0000 eV/atom. Its formation energy is 351 meV/atom.

Unit cell a=2.890 b=2.890 c=6.191 alpha=90.00 beta=90.00 gamma=90.00
Positions (direct):
Mn 0.000 0.000 0.000
Be 0.000 0.000 0.636
Be 0.500 0.500 0.801
Tl 0.500 0.500 0.326

[2]
Density functional theory data (meta-GGA SCAN) for a PBEsol-optimized structure of Ca2MnRh.

Computed properties:
Its total magnetization is 4.5 μB/f.u. Its space group is I-4m2 (119). Its formation energy is -24 meV/atom.

Unit cell a=4.812 b=4.812 c=4.812 alpha=119.78 beta=119.78 gamma=90.39
Positions (direct):
Ca 0.000 0.000 0.000
Ca 0.750 0.250 0.500
Mn 0.250 0.750 0.500
Rh 0.500 0.500 0.000

[3]
Density functional theory data (meta-GGA SCAN) for a PBEsol-optimized structure of Li2NiO3.

Computed properties:
Its total magnetization is 0.0 μB/f.u. Its space group is C2/m (12). Its uncorrected formation energy is -1745.5 meV/atom.

Unit cell a=4.840 b=4.840 c=4.926 alpha=99.53 beta=99.53 gamma=119.93
Positions (direct):
Li 0.000 0.000 0.000
Li 0.162 0.838 0.500
Li 0.500 0.500 0.500
Li 0.838 0.162 0.500
Ni 0.333 0.667 0.000
Ni 0.667 0.333 0.000
O 0.074 0.431 0.222
O 0.281 0.281 0.775
O 0.431 0.074 0.222
O 0.569 0.926 0.778
O 0.719 0.719 0.225
O 0.926 0.569 0.778

[4]
Density functional theory data (meta-GGA SCAN) for a PBEsol-optimized structure of LiBeAsSe2.

Computed properties:
Its total magnetization is 0.0 μB/f.u. Its space group is P4/mmm (123). Its uncorrected formation energy is 764.4 meV/atom.

Unit cell a=4.602 b=4.602 c=4.355 alpha=90.00 beta=90.00 gamma=90.00
Positions (direct):
Li 0.000 0.000 0.000
Be 0.500 0.500 0.500
As 0.000 0.000 0.500
Se 0.000 0.500 0.000
Se 0.500 0.000 0.000

[5]
Density functional theory data (meta-GGA SCAN) for a PBEsol-optimized structure of CuAs3Pd.

Computed properties:
Its total magnetization is 0.0 μB/f.u. Its space group is Pm-3m (221). Its formation energy is 888 meV/atom.

Unit cell a=4.789 b=4.789 c=4.789 alpha=90.00 beta=90.00 gamma=90.00
Positions (direct):
Cu 0.000 0.000 0.000
As 0.000 0.500 0.500
As 0.500 0.000 0.500
As 0.500 0.500 0.000
Pd 0.500 0.500 0.500

[6]
Density functional theory data (meta-GGA SCAN) for a PBEsol-optimized structure of CdOs.

Computed properties:
Its total magnetization is 0.0 μB/f.u. Its space group is P4/nmm (129). Its formation energy is 228 meV/atom.

Unit cell a=2.839 b=2.839 c=8.260 alpha=90.00 beta=90.00 gamma=90.00
Positions (direct):
Cd 0.250 0.250 0.146
Cd 0.750 0.750 0.854
Os 0.250 0.250 0.597
Os 0.750 0.750 0.403

Taking the records one at a time from the top gives volume values of 12.9; 19.8; 7.9; 18.4; 22.0; 16.6 A^3/atom.